VASP calculation (GGA-PBE) on crystalline Sr2TeBr at its relaxed geometry.

Values from the calculation:
* polymorph energy (0 for the lowest one): 93 meV per atom
* M_tot: 0.8 μB per formula unit
* formation energy from raw total energies: -1.469 eV/atom

Lattice parameters (Å, degrees): 4.5000 7.4558 7.4558 37.58 90.00 90.00
Last column: nearest neighbours and their distance in Å.
Positions (direct):
Sr (0.0000, 0.0000, 0.0000)  1 Br 3.12, 4 Te 3.29
Sr (0.5000, 0.2594, 0.2594)  4 Br 3.30, 1 Te 3.36
Te (0.5000, 0.4976, 0.4976)  5 Sr 3.29-3.36
Br (0.0000, 0.7791, 0.7791)  5 Sr 3.12-3.30